DFT (PBE) results for an optimized crystal structure of PrY2Ho5.

## Properties
The calculation puts the formation energy at 0.01 eV/atom. The density is 7.3 g/cm3. The value obtained for the electronic total energy is -5.065 eV/atom. As for the total magnetic moment: 0.00 μB per cell. As for the symmetry: P-1 (2).

Structure (extended XYZ):
```
16
Lattice="6.716 -0.431 0.015 -4.356 8.499 1.058 1.026 0.896 9.511" Properties=species:S:1:pos:R:3 pbc="T T T"
Ho 5.549 0.260 5.279
Y 3.796 3.324 4.479
Y 0.501 4.885 9.537
Y -0.411 5.639 6.103
Y 2.884 4.078 1.046
Ho 2.057 6.425 3.666
Ho -1.225 8.016 8.746
Ho 2.125 8.060 9.772
Ho 4.707 2.598 7.932
Ho 1.260 0.904 0.810
Pr 2.975 5.701 7.136
Pr 0.410 3.263 3.446
Ho -1.322 6.366 2.650
Ho 1.328 2.538 6.916
Ho -2.164 8.704 5.304
Ho 4.611 0.948 1.836
```


DFT (PBE) results for an optimized crystal structure of Pr2Y2Ho7.

## Properties
The calculation puts the formation energy at 0.15 eV/atom. The density is 7.4 g/cm3. The value obtained for the electronic total energy is -4.807 eV/atom. As for the total magnetic moment: 0.00 μB per cell. As for the symmetry: C2/m (12).

Structure (extended XYZ):
```
11
Lattice="5.811 1.069 1.542 0.613 7.937 1.338 0.613 -1.534 7.902" Properties=species:S:1:pos:R:3 pbc="T T T"
Pr 1.839 4.008 5.784
Pr 5.198 3.463 4.998
Ho 0.000 0.000 0.000
Y 3.519 6.472 3.495
Ho 1.436 -0.212 5.010
Ho 1.436 4.766 1.561
Y 3.519 0.999 7.287
Ho 4.290 5.536 7.989
Ho 5.601 2.706 9.221
Ho 5.601 7.683 5.772
Ho 2.747 1.935 2.793
```


DFT (PBE) results for an optimized crystal structure of Pr3Y3Ho8.

## Properties
The calculation puts the formation energy at 0.11 eV/atom. The density is 7.2 g/cm3. The value obtained for the electronic total energy is -4.917 eV/atom. As for the total magnetic moment: 0.00 μB per cell. As for the symmetry: Immm (71).

Structure (extended XYZ):
```
14
Lattice="5.556 -0.001 1.116 2.732 9.276 0.799 1.060 -3.155 9.114" Properties=species:S:1:pos:R:3 pbc="T T T"
Ho 2.002 0.823 4.420
Ho 7.346 5.298 6.609
Ho 2.344 3.368 2.718
Pr 2.778 0.000 0.558
Ho 4.588 -0.672 5.937
Y 4.148 4.883 8.133
Ho 4.760 6.793 5.092
Y 5.200 1.238 2.895
Y 4.674 3.060 5.514
Ho 4.021 1.298 8.768
Ho 7.003 2.753 8.311
Pr 2.422 6.974 2.339
Pr 1.370 -0.853 7.574
Ho 5.326 4.823 2.261
```


DFT (PBE) results for an optimized crystal structure of Pr2Y4Ho5.

## Properties
The calculation puts the formation energy at 0.22 eV/atom. The density is 6.5 g/cm3. The value obtained for the electronic total energy is -5.078 eV/atom. As for the total magnetic moment: 0.01 μB per cell. As for the symmetry: Immm (71).

Structure (extended XYZ):
```
11
Lattice="-3.347 0.943 0.485 -2.174 -3.579 -8.040 0.613 -8.952 8.929" Properties=species:S:1:pos:R:3 pbc="T T T"
Y -3.184 -3.341 -2.762
Ho -2.549 -5.812 6.422
Ho -2.360 -5.775 -5.047
Ho -1.674 0.472 0.243
Pr -1.143 -5.466 2.742
Ho -1.021 -3.572 -0.098
Y -1.724 -8.246 4.137
Y -1.500 -2.469 -5.547
Pr -3.765 -6.121 -1.367
Ho -3.887 -8.015 1.473
Y -0.674 -1.109 -2.492
```


DFT (PBE) results for an optimized crystal structure of Pr8Y2Ho.

## Properties
The calculation puts the formation energy at 0.13 eV/atom. The density is 6.2 g/cm3. The value obtained for the electronic total energy is -4.933 eV/atom. As for the total magnetic moment: 0.00 μB per cell. As for the symmetry: C2/m (12).

Structure (extended XYZ):
```
11
Lattice="5.801 1.715 0.000 2.738 8.836 0.000 1.369 4.418 8.393" Properties=species:S:1:pos:R:3 pbc="T T T"
Ho 2.901 0.858 0.000
Pr 2.875 4.231 0.000
Pr 5.665 6.320 0.000
Pr 5.340 3.316 1.985
Pr 4.270 5.275 4.957
Pr 3.200 7.235 1.985
Pr 5.639 9.693 3.436
Pr 6.709 7.734 6.409
Y 2.738 8.836 5.206
Y 1.369 4.418 3.187
Pr 4.569 11.652 6.409
```


DFT (PBE) results for an optimized crystal structure of Pr2YHo.

## Properties
The calculation puts the formation energy at 0.02 eV/atom. The density is 6.6 g/cm3. The value obtained for the electronic total energy is -5.130 eV/atom. As for the total magnetic moment: 0.00 μB per cell. As for the symmetry: R3m (160).

Structure (extended XYZ):
```
4
Lattice="-0.703 1.058 -3.419 -1.556 -2.321 -2.344 -11.395 3.330 1.427" Properties=species:S:1:pos:R:3 pbc="T T T"
Ho -12.880 2.481 -2.420
Pr -8.748 2.397 0.593
Pr -3.410 0.515 -1.087
Y -6.837 1.037 -2.164
```


DFT (PBE) results for an optimized crystal structure of Pr5Y6Ho2.

## Properties
The calculation puts the formation energy at 0.09 eV/atom. The density is 5.9 g/cm3. The value obtained for the electronic total energy is -5.434 eV/atom. As for the total magnetic moment: 0.00 μB per cell. As for the symmetry: Pbam (55).

Structure (extended XYZ):
```
26
Lattice="-3.430 1.139 -0.302 -0.535 -4.495 -10.857 -6.677 -18.038 7.798" Properties=species:S:1:pos:R:3 pbc="T T T"
Pr -5.053 -8.450 3.748
Pr -2.477 -3.930 -8.454
Y -4.568 -9.653 -6.286
Pr -8.165 -17.465 5.092
Y -4.707 -15.518 -5.051
Pr -4.881 -8.900 0.095
Ho -2.111 -6.709 -1.319
Pr -5.761 -12.494 -3.457
Pr -3.844 -6.962 -4.365
Y -0.577 -1.744 -0.022
Y -2.505 -7.016 1.991
Y -6.024 -17.551 2.228
Y -3.094 -10.068 -2.824
Ho -1.847 -7.521 -7.368
Y -4.118 -12.466 -0.236
Pr -7.361 -17.478 -4.081
Pr -1.983 -1.678 -5.580
Y -1.188 -4.983 -5.288
Pr -3.281 -3.916 0.719
Y -7.827 -18.002 -0.770
Y -6.635 -20.789 -3.038
Y -2.815 -3.392 -2.592
Pr -6.798 -14.432 1.003
Ho -5.100 -15.824 -1.741
Y -6.074 -11.742 2.924
Ho -5.364 -15.013 4.309
```


DFT (PBE) results for an optimized crystal structure of Pr6Y2Ho5.

## Properties
The calculation puts the formation energy at 0.10 eV/atom. The density is 6.9 g/cm3. The value obtained for the electronic total energy is -4.859 eV/atom. As for the total magnetic moment: 0.00 μB per cell. As for the symmetry: Pbam (55).

Structure (extended XYZ):
```
26
Lattice="-0.109 -3.640 -0.055 4.566 0.028 -10.867 19.083 -0.693 8.016" Properties=species:S:1:pos:R:3 pbc="T T T"
Ho 4.688 -1.974 0.756
Pr 13.082 -0.390 -0.142
Y 7.050 -0.191 -1.327
Pr 19.564 -2.402 -0.401
Pr 7.374 -0.252 2.041
Pr 5.205 -0.076 -5.263
Ho 18.870 -2.469 5.374
Pr 16.274 -0.413 -4.892
Ho 9.487 -2.166 3.980
Ho 15.649 -2.312 1.386
Pr 10.719 -2.051 -6.064
Ho 18.851 -2.331 -3.662
Pr 21.851 -0.611 -2.851
Ho 2.228 -1.806 -5.461
Pr 10.566 -0.275 -2.709
Pr 3.975 -1.903 -2.505
Pr 1.797 -0.054 0.000
Ho 4.670 -1.836 -8.280
Y 16.599 -0.474 -1.524
Ho 9.792 -2.119 0.264
Y 7.837 -0.123 -7.388
Ho 7.890 -1.993 -4.292
Ho 13.748 -2.186 -3.170
Pr 18.444 -0.589 2.412
Y 15.811 -0.542 4.537
Pr 12.821 -2.254 3.158
```